First-principles (GGA-PBE) data for a relaxed structure of BeAlAg, as listed in Alexandria.

Calculated values
Energy above the lowest structure with this stoichiometry: 0.090 eV/atom
Formation energy from the elements: 0.24 eV per atom

Lattice parameters (Å, degrees): 4.179 4.179 2.883 90.00 90.00 120.00
Fractional positions:
Be1 0.000 0.000 0.000
Al1 0.333 0.667 0.506
Ag1 0.667 0.333 0.007